Entry 1:
First-principles (PBE-GGA) data for a relaxed LaHgSb2 crystal, as listed in Alexandria via LeMat-Bulk. Values from VASP.

Values from the calculation:
raw total energy	-3.8249	eV per atom
volume	29.56	Å³ per atom
formation energy from raw total energies	-0.456	eV per atom
M_tot	0.2	μB per cell

The structure in Quantum ESPRESSO input format:
```
&SYSTEM
  ibrav = 0, nat = 4, ntyp = 3
/
ATOMIC_SPECIES
La 138.91 La.upf
Hg 200.59 Hg.upf
Sb 121.76 Sb.upf
CELL_PARAMETERS angstrom
3.4261 0.0000 0.0000
0.0000 5.7888 0.0000
-0.0084 0.0000 5.9627
ATOMIC_POSITIONS crystal
La 0.0000 0.0000 0.0000
Hg 0.5019 0.5000 0.6206
Sb 0.5002 0.0000 0.5056
Sb 0.4998 0.5000 0.1115
```


Entry 2:
First-principles (PBE-GGA) data for a relaxed La2HgSb4 crystal, as listed in Alexandria via LeMat-Bulk. Values from VASP.

Values from the calculation:
raw total energy	-4.5591	eV per atom
volume	30.35	Å³ per atom
formation energy from raw total energies	-0.752	eV per atom
M_tot	0.0	μB per cell

The structure in Quantum ESPRESSO input format:
```
&SYSTEM
  ibrav = 0, nat = 7, ntyp = 3
/
ATOMIC_SPECIES
La 138.91 La.upf
Hg 200.59 Hg.upf
Sb 121.76 Sb.upf
CELL_PARAMETERS angstrom
4.4940 0.0000 0.0000
0.0000 4.4940 0.0000
0.0000 0.0000 10.5202
ATOMIC_POSITIONS crystal
La 0.0000 0.5000 0.2434
La 0.5000 0.0000 0.7566
Hg 0.0000 0.0000 0.5000
Sb 0.0000 0.0000 0.0000
Sb 0.0000 0.5000 0.6744
Sb 0.5000 0.0000 0.3256
Sb 0.5000 0.5000 0.0000
```


Entry 3:
First-principles (PBE-GGA) data for a relaxed LaHg3Sb crystal, as listed in Alexandria via LeMat-Bulk. Values from VASP.

Values from the calculation:
raw total energy	-1.7822	eV per atom
volume	32.84	Å³ per atom
formation energy from raw total energies	0.209	eV per atom
M_tot	0.0	μB per cell

The structure in Quantum ESPRESSO input format:
```
&SYSTEM
  ibrav = 0, nat = 5, ntyp = 3
/
ATOMIC_SPECIES
La 138.91 La.upf
Hg 200.59 Hg.upf
Sb 121.76 Sb.upf
CELL_PARAMETERS angstrom
5.4758 0.0000 0.0000
0.0000 5.4758 0.0000
0.0000 0.0000 5.4758
ATOMIC_POSITIONS crystal
La 0.0000 0.0000 0.0000
Hg 0.0000 0.5000 0.5000
Hg 0.5000 0.0000 0.5000
Hg 0.5000 0.5000 0.0000
Sb 0.5000 0.5000 0.5000
```


Entry 4:
First-principles (PBE-GGA) data for a relaxed La2HgSb2 crystal, as listed in Alexandria via LeMat-Bulk. Values from VASP.

Values from the calculation:
raw total energy	-4.5397	eV per atom
volume	31.21	Å³ per atom
formation energy from raw total energies	-0.859	eV per atom
M_tot	0.0	μB per cell

The structure in Quantum ESPRESSO input format:
```
&SYSTEM
  ibrav = 0, nat = 10, ntyp = 3
/
ATOMIC_SPECIES
La 138.91 La.upf
Hg 200.59 Hg.upf
Sb 121.76 Sb.upf
CELL_PARAMETERS angstrom
8.5547 0.0000 0.0000
0.0000 8.5547 0.0000
0.0000 0.0000 4.2649
ATOMIC_POSITIONS crystal
La 0.1565 0.3435 0.0000
La 0.3435 0.8435 0.0000
La 0.6565 0.1565 0.0000
La 0.8435 0.6565 0.0000
Hg 0.0000 0.0000 0.5000
Hg 0.5000 0.5000 0.5000
Sb 0.1496 0.6496 0.5000
Sb 0.3504 0.1496 0.5000
Sb 0.6496 0.8504 0.5000
Sb 0.8504 0.3504 0.5000
```


Entry 5:
First-principles (PBE-GGA) data for a relaxed LaHgSb2 crystal, as listed in Alexandria via LeMat-Bulk. Values from VASP.

Values from the calculation:
raw total energy	-3.9936	eV per atom
volume	28.16	Å³ per atom
formation energy from raw total energies	-0.625	eV per atom
M_tot	0.0	μB per cell

The structure in Quantum ESPRESSO input format:
```
&SYSTEM
  ibrav = 0, nat = 8, ntyp = 3
/
ATOMIC_SPECIES
La 138.91 La.upf
Hg 200.59 Hg.upf
Sb 121.76 Sb.upf
CELL_PARAMETERS angstrom
4.5693 0.0000 0.0000
0.0000 4.5693 0.0000
0.0000 0.0000 10.7883
ATOMIC_POSITIONS crystal
La 0.2500 0.2500 0.2356
La 0.7500 0.7500 0.7644
Hg 0.2500 0.7500 0.5000
Hg 0.7500 0.2500 0.5000
Sb 0.2500 0.2500 0.7161
Sb 0.2500 0.7500 0.0000
Sb 0.7500 0.2500 0.0000
Sb 0.7500 0.7500 0.2839
```


Entry 6:
First-principles (PBE-GGA) data for a relaxed La6HgSb5 crystal, as listed in Alexandria via LeMat-Bulk. Values from VASP.

Values from the calculation:
raw total energy	-5.3102	eV per atom
volume	34.84	Å³ per atom
formation energy from raw total energies	-1.104	eV per atom
M_tot	0.0	μB per cell

The structure in Quantum ESPRESSO input format:
```
&SYSTEM
  ibrav = 0, nat = 12, ntyp = 3
/
ATOMIC_SPECIES
La 138.91 La.upf
Hg 200.59 Hg.upf
Sb 121.76 Sb.upf
CELL_PARAMETERS angstrom
4.0042 -6.9106 0.0000
4.0042 6.9106 0.0000
-2.6492 0.0000 7.5537
ATOMIC_POSITIONS crystal
La 0.0681 0.4141 0.7444
La 0.2398 0.2398 0.2561
La 0.4141 0.0681 0.7444
La 0.5859 0.9319 0.2556
La 0.7602 0.7602 0.7439
La 0.9319 0.5859 0.2556
Hg 0.5000 0.5000 0.0000
Sb 0.0000 0.0000 0.5000
Sb 0.1672 0.8328 0.0000
Sb 0.3362 0.6638 0.5000
Sb 0.6638 0.3362 0.5000
Sb 0.8328 0.1672 0.0000
```


Entry 7:
First-principles (PBE-GGA) data for a relaxed La2HgSb2 crystal, as listed in Alexandria via LeMat-Bulk. Values from VASP.

Values from the calculation:
raw total energy	-4.2342	eV per atom
volume	35.87	Å³ per atom
formation energy from raw total energies	-0.554	eV per atom
M_tot	1.4	μB per cell

The structure in Quantum ESPRESSO input format:
```
&SYSTEM
  ibrav = 0, nat = 10, ntyp = 3
/
ATOMIC_SPECIES
La 138.91 La.upf
Hg 200.59 Hg.upf
Sb 121.76 Sb.upf
CELL_PARAMETERS angstrom
6.1917 0.0000 0.0000
0.0000 6.1917 0.0000
0.0000 0.0000 9.3552
ATOMIC_POSITIONS crystal
La 0.0000 0.5000 0.2500
La 0.0000 0.5000 0.7500
La 0.5000 0.0000 0.2500
La 0.5000 0.0000 0.7500
Hg 0.0000 0.0000 0.0000
Hg 0.5000 0.5000 0.5000
Sb 0.0000 0.0000 0.3323
Sb 0.0000 0.0000 0.6677
Sb 0.5000 0.5000 0.1677
Sb 0.5000 0.5000 0.8323
```


Entry 8:
First-principles (PBE-GGA) data for a relaxed La2Hg2Sb crystal, as listed in Alexandria via LeMat-Bulk. Values from VASP.

Values from the calculation:
raw total energy	-3.5678	eV per atom
volume	33.29	Å³ per atom
formation energy from raw total energies	-0.652	eV per atom
M_tot	0.0	μB per cell

The structure in Quantum ESPRESSO input format:
```
&SYSTEM
  ibrav = 0, nat = 10, ntyp = 3
/
ATOMIC_SPECIES
La 138.91 La.upf
Hg 200.59 Hg.upf
Sb 121.76 Sb.upf
CELL_PARAMETERS angstrom
8.0085 0.0000 0.0000
0.0000 4.6001 0.0000
-0.4161 0.0000 9.0367
ATOMIC_POSITIONS crystal
La 0.1773 0.0000 0.2014
La 0.3227 0.5000 0.7986
La 0.6773 0.5000 0.2014
La 0.8227 0.0000 0.7986
Hg 0.1606 0.0000 0.5887
Hg 0.3394 0.5000 0.4113
Hg 0.6606 0.5000 0.5887
Hg 0.8394 0.0000 0.4113
Sb 0.0000 0.5000 0.0000
Sb 0.5000 0.0000 0.0000
```


Entry 9:
First-principles (PBE-GGA) data for a relaxed La2Hg2Sb crystal, as listed in Alexandria via LeMat-Bulk. Values from VASP.

Values from the calculation:
raw total energy	-3.4679	eV per atom
volume	30.99	Å³ per atom
formation energy from raw total energies	-0.552	eV per atom
M_tot	1.3	μB per cell

The structure in Quantum ESPRESSO input format:
```
&SYSTEM
  ibrav = 0, nat = 10, ntyp = 3
/
ATOMIC_SPECIES
La 138.91 La.upf
Hg 200.59 Hg.upf
Sb 121.76 Sb.upf
CELL_PARAMETERS angstrom
4.1614 0.0000 0.0000
0.0000 4.1614 0.0000
0.0000 0.0000 17.8982
ATOMIC_POSITIONS crystal
La 0.0000 0.0000 0.0979
La 0.0000 0.0000 0.9021
La 0.5000 0.5000 0.4021
La 0.5000 0.5000 0.5979
Hg 0.0000 0.5000 0.2500
Hg 0.0000 0.5000 0.7500
Hg 0.5000 0.0000 0.2500
Hg 0.5000 0.0000 0.7500
Sb 0.0000 0.0000 0.5000
Sb 0.5000 0.5000 0.0000
```


Entry 10:
First-principles (PBE-GGA) data for a relaxed La8HgSb5 crystal, as listed in Alexandria via LeMat-Bulk. Values from VASP.

Values from the calculation:
raw total energy	-5.3218	eV per atom
volume	32.57	Å³ per atom
formation energy from raw total energies	-1.012	eV per atom
M_tot	0.0	μB per cell

The structure in Quantum ESPRESSO input format:
```
&SYSTEM
  ibrav = 0, nat = 14, ntyp = 3
/
ATOMIC_SPECIES
La 138.91 La.upf
Hg 200.59 Hg.upf
Sb 121.76 Sb.upf
CELL_PARAMETERS angstrom
-4.8299 4.8299 4.8864
4.8299 -4.8299 4.8864
4.8299 4.8299 -4.8864
ATOMIC_POSITIONS crystal
La 0.1283 0.2356 0.7556
La 0.1319 0.7369 0.7568
La 0.2631 0.0200 0.3951
La 0.4800 0.3727 0.2444
La 0.6249 0.8681 0.6049
La 0.6273 0.8717 0.1073
La 0.7644 0.5200 0.8927
La 0.9800 0.3751 0.2432
Hg 0.7500 0.2500 0.5000
Sb 0.0000 0.0000 0.0000
Sb 0.2526 0.6289 0.1290
Sb 0.3711 0.5001 0.6237
Sb 0.4999 0.1237 0.8710
Sb 0.8763 0.7474 0.3763
```